Record 1
First-principles (PBE) data for SmDy2Ir after structural relaxation, as listed in the Alexandria database.

Computed properties:
theoretical density	9.1	g/cm3
formation enthalpy at 0 K	-0.354	eV per atom
energy above the lowest structure with this stoichiometry	198	meV/atom
energy	-6.05	eV per atom
size of the total moment	0.00	μB/f.u.

Lattice parameters (Å, degrees): 3.988 3.988 9.145 77.41 77.41 60.00
Fractional positions:
Sm  0.502  0.502  0.494
Dy  0.056  0.056  0.832
Dy  0.276  0.276  0.171
Ir  0.666  0.666  0.002



Record 2
First-principles (PBE) data for SmDy4Ir4 after structural relaxation, as listed in the Alexandria database.

Computed properties:
theoretical density	11.6	g/cm3
formation enthalpy at 0 K	-0.635	eV per atom
energy	-7.14	eV per atom
size of the total moment	0.00	μB/f.u.

Lattice parameters (Å, degrees): 5.657 8.923 8.923 90.00 90.00 90.00
Fractional positions:
Sm  0.000  0.000  0.000
Sm  0.500  0.500  0.500
Dy  0.391  0.330  0.908
Dy  0.891  0.592  0.830
Dy  0.391  0.670  0.092
Dy  0.109  0.170  0.592
Dy  0.609  0.908  0.670
Dy  0.109  0.830  0.408
Dy  0.891  0.408  0.170
Dy  0.609  0.092  0.330
Ir  0.608  0.782  0.367
Ir  0.608  0.218  0.633
Ir  0.108  0.867  0.718
Ir  0.892  0.282  0.867
Ir  0.892  0.718  0.133
Ir  0.392  0.367  0.218
Ir  0.392  0.633  0.782
Ir  0.108  0.133  0.282



Record 3
First-principles (PBE) data for Sm2DyIr after structural relaxation, as listed in the Alexandria database.

Computed properties:
theoretical density	8.3	g/cm3
formation enthalpy at 0 K	-0.059	eV per atom
energy above the lowest structure with this stoichiometry	457	meV/atom
energy	-5.78	eV per atom
size of the total moment	0.54	μB/f.u.

Lattice parameters (Å, degrees): 3.783 3.783 10.852 79.96 79.96 60.00
Fractional positions:
Ir  0.500  0.500  0.500
Sm  0.112  0.112  0.664
Sm  0.888  0.888  0.336
Dy  0.000  0.000  0.000



Record 4
First-principles (PBE) data for SmDy2Ir2 after structural relaxation, as listed in the Alexandria database.

Computed properties:
theoretical density	11.2	g/cm3
formation enthalpy at 0 K	-0.699	eV per atom
energy above the lowest structure with this stoichiometry	35	meV/atom
energy	-7.03	eV per atom
size of the total moment	0.00	μB/f.u.

Lattice parameters (Å, degrees): 4.416 5.511 11.250 111.73 90.00 90.00
Fractional positions:
Sm  0.250  0.807  0.211
Sm  0.750  0.193  0.789
Dy  0.250  0.777  0.883
Dy  0.750  0.223  0.117
Dy  0.250  0.281  0.530
Dy  0.750  0.719  0.470
Ir  0.250  0.869  0.638
Ir  0.750  0.131  0.362
Ir  0.250  0.320  0.977
Ir  0.750  0.680  0.023



Record 5
First-principles (PBE) data for SmDy2Ir after structural relaxation, as listed in the Alexandria database.

Computed properties:
theoretical density	10.2	g/cm3
formation enthalpy at 0 K	-0.516	eV per atom
energy above the lowest structure with this stoichiometry	36	meV/atom
energy	-6.21	eV per atom
size of the total moment	0.00	μB/f.u.

Lattice parameters (Å, degrees): 3.871 6.396 9.246 90.00 90.00 107.62
Fractional positions:
Sm  0.427  0.853  0.250
Sm  0.573  0.147  0.750
Dy  0.142  0.284  0.433
Dy  0.858  0.716  0.567
Dy  0.858  0.716  0.933
Dy  0.142  0.284  0.067
Ir  0.747  0.493  0.250
Ir  0.253  0.507  0.750



Record 6
First-principles (PBE) data for Sm3DyIr8 after structural relaxation, as listed in the Alexandria database.

Computed properties:
theoretical density	16.1	g/cm3
formation enthalpy at 0 K	-0.760	eV per atom
energy	-8.23	eV per atom
size of the total moment	0.00	μB/f.u.

Lattice parameters (Å, degrees): 5.399 5.399 9.343 73.21 73.21 60.00
Fractional positions:
Sm  0.375  0.375  0.875
Sm  0.000  0.000  0.001
Sm  0.500  0.500  0.500
Dy  0.875  0.875  0.375
Ir  0.937  0.437  0.189
Ir  0.439  0.938  0.686
Ir  0.437  0.437  0.189
Ir  0.938  0.938  0.686
Ir  0.188  0.188  0.437
Ir  0.688  0.688  0.937
Ir  0.437  0.937  0.189
Ir  0.938  0.439  0.686



Record 7
First-principles (PBE) data for SmDyTlIr after structural relaxation, as listed in the Alexandria database.

Computed properties:
theoretical density	12.2	g/cm3
formation enthalpy at 0 K	-0.439	eV per atom
energy above the lowest structure with this stoichiometry	133	meV/atom
energy	-5.58	eV per atom
size of the total moment	0.00	μB/f.u.

Lattice parameters (Å, degrees): 5.151 5.151 5.151 60.00 60.00 60.00
Fractional positions:
Tl  0.250  0.250  0.250
Ir  0.750  0.750  0.750
Sm  0.000  0.000  0.000
Dy  0.500  0.500  0.500



Record 8
First-principles (PBE) data for SmDyTlIr after structural relaxation, as listed in the Alexandria database.

Computed properties:
theoretical density	11.9	g/cm3
formation enthalpy at 0 K	-0.572	eV per atom
energy above the lowest structure with this stoichiometry	0	meV/atom
energy	-5.71	eV per atom
size of the total moment	0.00	μB/f.u.

Lattice parameters (Å, degrees): 3.499 3.499 8.119 90.00 90.00 90.00
Fractional positions:
Sm  0.500  0.500  0.778
Dy  0.500  0.500  0.366
Tl  0.000  0.000  0.078
Ir  0.000  0.000  0.563